Entry 1:
The following is a DFT calculation (PBE) of crystalline KBiH2 at its relaxed geometry.

```
4
Lattice="2.9479 -0.3193 3.6010 0.9660 3.7744 2.5651 -1.6080 0.3264 4.3666" Properties=species:S:1:pos:R:3 pbc="T T T"
H 1.7295 2.8362 7.8995
H 0.5765 0.9454 2.6332
K 0.0000 0.0000 0.0000
Bi 1.1530 1.8908 5.2663
```

Calculated values
For the volume, the calculation gives 17.94 Å³/atom. The calculation puts the total DFT energy (no corrections) at -9.558 eV/cell. The space-group type is Fm-3m. The magnetic moment comes out at 0.0 μB per formula unit. For the density of states at the Fermi level, the calculation gives 0.364 states/eV per atom.

***

Entry 2:
The following is a DFT calculation (PBE) of crystalline Ba5IrCl at its relaxed geometry.

```
28
Lattice="7.8941 -0.7523 0.0000 -4.6572 10.1496 0.0000 0.0000 0.0000 17.6070" Properties=species:S:1:pos:R:3 pbc="T T T"
Ba 2.7077 3.2486 3.2503
Ba 2.9765 7.1064 9.4336
Ba -3.5679 8.6996 5.5532
Ba -0.0487 6.1649 5.8912
Ba 1.8788 6.9894 0.6301
Ba -1.9889 9.2656 1.4114
Ba -1.4544 9.6230 10.4725
Ba 0.5291 6.1486 14.3567
Ba 5.2258 0.1316 16.1957
Ba 6.2270 0.7139 2.9123
Ba 4.8213 4.1720 15.9380
Ba 3.2856 3.2324 11.7159
Ba -1.5844 5.2252 1.6690
Ba -2.9901 8.6834 14.6947
Ba 6.8048 0.6977 12.0538
Ba 4.6912 -0.2257 7.1345
Ba 0.2603 2.2908 8.1734
Ba 4.2868 3.8147 7.3921
Ba -1.0499 5.5826 10.2149
Ba 1.3581 2.4078 16.9769
Ir -1.0323 7.3481 16.7525
Ir -2.0064 7.5002 7.9490
Ir 4.2692 2.0492 0.8546
Ir 5.2433 1.8971 9.6581
Cl 3.9459 6.1730 2.9945
Cl -0.7091 3.2242 14.6125
Cl 2.3275 1.4744 5.8090
Cl 0.9094 7.9229 11.7980
```

Calculated values
For the volume, the calculation gives 48.18 Å³/atom. The space-group type is P2_1/c. The magnetic moment comes out at 0.0 μB per formula unit. For the density of states at the Fermi level, the calculation gives 0.872 states/eV per atom. As for the uncorrected formation energy: -558 meV/atom.

***

Entry 3:
The following is a DFT calculation (PBE) of crystalline Ta2FeTe at its relaxed geometry.

```
4
Lattice="-1.7543 -2.8003 -0.3339 2.5929 -1.4469 -1.4881 2.1486 -2.0276 5.7153" Properties=species:S:1:pos:R:3 pbc="T T T"
Fe 2.1080 -3.7171 3.5808
Ta 0.9458 -2.6204 0.4895
Ta 2.0773 -1.9603 5.5257
Te 1.0791 -1.0183 2.8703
```

Calculated values
For the volume, the calculation gives 17.74 Å³/atom. The space-group type is P4mm. The magnetic moment comes out at 1.0 μB per formula unit. For the density of states at the Fermi level, the calculation gives 1.018 states/eV per atom. As for the uncorrected formation energy: 143 meV/atom.

***

Entry 4:
The following is a DFT calculation (PBE) of crystalline ScZn2Cd2 at its relaxed geometry.

```
5
Lattice="4.6096 0.0000 0.0000 -2.3048 3.7603 -1.2731 0.0000 -0.8060 5.8091" Properties=species:S:1:pos:R:3 pbc="T T T"
Zn 3.4572 1.0003 0.8824
Zn -1.1524 1.9540 3.6536
Sc 1.1524 1.8802 -0.6366
Cd 1.1524 -0.0069 2.0170
Cd 1.1524 2.9611 2.5190
```

Calculated values
For the volume, the calculation gives 19.19 Å³/atom. The calculation puts the total DFT energy (no corrections) at -11.500 eV/cell. The space-group type is C2/m. The magnetic moment comes out at 0.0 μB per formula unit. For the density of states at the Fermi level, the calculation gives 0.363 states/eV per atom.

***

Entry 5:
The following is a DFT calculation (PBE) of crystalline YCu2Os2 at its relaxed geometry.

```
5
Lattice="4.1782 0.0000 0.0000 0.0000 4.1782 0.0000 2.0891 2.0891 5.0408" Properties=species:S:1:pos:R:3 pbc="T T T"
Os 2.0891 2.0891 1.1405
Os 4.1782 4.1782 3.9003
Cu 2.0891 4.1782 2.5204
Cu 4.1782 2.0891 2.5204
Y 0.0000 0.0000 0.0000
```

Calculated values
For the volume, the calculation gives 17.60 Å³/atom. The calculation puts the total DFT energy (no corrections) at -35.952 eV/cell. The space-group type is I4/mmm. The magnetic moment comes out at 0.0 μB per formula unit. For the density of states at the Fermi level, the calculation gives 1.222 states/eV per atom.

***

Entry 6:
The following is a DFT calculation (PBE) of crystalline MnNb3H at its relaxed geometry.

```
5
Lattice="4.5862 0.0000 0.0000 0.0000 4.5862 0.0000 0.0000 0.0000 4.5862" Properties=species:S:1:pos:R:3 pbc="T T T"
Mn 0.0000 0.0000 0.0000
Nb 0.0000 2.2931 0.0000
Nb 2.2931 0.0000 0.0000
Nb 0.0000 0.0000 2.2931
H 2.2931 2.2931 2.2931
```

Calculated values
For the volume, the calculation gives 19.29 Å³/atom. The calculation puts the total DFT energy (no corrections) at -35.707 eV/cell. The space-group type is Pm-3m. The magnetic moment comes out at 0.0 μB per formula unit. For the density of states at the Fermi level, the calculation gives 0.839 states/eV per atom.

***

Entry 7:
The following is a DFT calculation (PBE) of crystalline Pr4Y11S22 at its relaxed geometry.

```
37
Lattice="19.8716 0.0074 0.0440 19.4725 3.9625 0.0440 0.3362 0.0339 11.4200" Properties=species:S:1:pos:R:3 pbc="T T T"
S 16.0566 1.6202 2.4326
S 21.5311 2.1726 0.3818
S 39.1254 3.9479 2.8375
S 28.5549 2.8813 6.8196
S 36.1328 3.6459 8.6975
S 7.5026 0.7570 3.5477
S 34.1767 3.4485 5.2519
S 10.3328 1.0426 10.0811
S 6.9253 0.6988 9.7217
S 11.1253 1.1226 4.6884
S 17.5885 1.7747 5.8352
S 29.3474 2.9613 1.4269
S 18.1491 1.8313 11.1262
S 25.5851 2.5816 1.1185
S 22.0917 2.2291 5.6728
S 32.7549 3.3051 1.7863
S 32.1776 3.2468 7.9603
S 3.5474 0.3579 2.8105
S 5.5035 0.5553 6.2561
S 23.6237 2.3837 9.0755
S 14.0951 1.4222 10.3895
S 0.5548 0.0560 8.6705
Pr 24.9947 2.5220 4.0498
Pr 35.2035 3.5521 0.2144
Pr 4.4768 0.4517 11.2936
Pr 14.6856 1.4818 7.4582
Y 0.0000 0.0000 0.0000
Y 18.3877 1.8554 8.3772
Y 7.9714 0.8043 0.6846
Y 31.7088 3.1995 10.8235
Y 26.1361 2.6372 8.0343
Y 21.2925 2.1485 3.1308
Y 29.0505 2.9313 4.0798
Y 2.9833 0.3010 7.3343
Y 13.5441 1.3666 3.4737
Y 10.6298 1.0726 7.4282
Y 36.6970 3.7028 4.1737
```

Calculated values
For the volume, the calculation gives 24.26 Å³/atom. The space-group type is C2/m. The magnetic moment comes out at 0.0 μB per formula unit. For the density of states at the Fermi level, the calculation gives 0.013 states/eV per atom. As for the uncorrected formation energy: -2101 meV/atom.

***

Entry 8:
The following is a DFT calculation (PBE) of crystalline Ca2LaSnN at its relaxed geometry.

```
5
Lattice="-3.5578 3.0639 -1.5408 -2.0655 -3.6867 -2.5616 -2.8061 -1.2302 4.0332" Properties=species:S:1:pos:R:3 pbc="T T T"
Sn -4.2147 -0.9265 -0.0346
Ca -1.7789 1.5319 -0.7704
Ca -1.0327 -1.8433 -1.2808
N 0.0000 0.0000 0.0000
La -1.4031 -0.6151 2.0166
```

Calculated values
For the volume, the calculation gives 24.74 Å³/atom. The space-group type is P4/mmm. The magnetic moment comes out at 0.0 μB per formula unit. For the density of states at the Fermi level, the calculation gives 0.061 states/eV per atom. As for the uncorrected formation energy: -996 meV/atom.

***

Entry 9:
The following is a DFT calculation (PBE) of crystalline Be2TePt2 at its relaxed geometry.

```
10
Lattice="7.2118 0.0000 0.0000 0.0000 7.2118 0.0000 0.0000 0.0000 2.8530" Properties=species:S:1:pos:R:3 pbc="T T T"
Pt 2.5439 1.0620 1.4265
Pt 1.0620 4.6679 1.4265
Pt 4.6679 6.1498 1.4265
Pt 6.1498 2.5439 1.4265
Te 0.0000 0.0000 0.0000
Te 3.6059 3.6059 0.0000
Be 0.9027 2.7032 0.0000
Be 2.7032 6.3091 0.0000
Be 4.5086 0.9027 0.0000
Be 6.3091 4.5086 0.0000
```

Calculated values
For the volume, the calculation gives 14.84 Å³/atom. The space-group type is P4/mbm. The magnetic moment comes out at 0.0 μB per formula unit. For the density of states at the Fermi level, the calculation gives 0.345 states/eV per atom. As for the uncorrected formation energy: -182 meV/atom.

***

Entry 10:
The following is a DFT calculation (PBE) of crystalline Tm2ThCdHg4 at its relaxed geometry.

```
8
Lattice="5.0400 0.0000 0.0000 2.5200 4.3648 0.0000 2.5200 1.4549 9.2179" Properties=species:S:1:pos:R:3 pbc="T T T"
Tm 2.5200 1.4549 2.5814
Tm 7.5601 4.3648 6.6365
Hg 2.5200 1.4549 5.7456
Hg 5.0400 2.9099 1.3499
Hg 5.0400 2.9099 7.8679
Hg 7.5601 4.3648 3.4722
Cd 5.0400 2.9099 4.6089
Th 0.0000 0.0000 0.0000
```

Calculated values
For the volume, the calculation gives 25.35 Å³/atom. The calculation puts the total DFT energy (no corrections) at -20.986 eV/cell. The space-group type is R-3m. The magnetic moment comes out at 0.0 μB per formula unit. For the density of states at the Fermi level, the calculation gives 0.772 states/eV per atom.

***

Entry 11:
The following is a DFT calculation (PBE) of crystalline Dy7Ho3Sc2 at its relaxed geometry.

```
12
Lattice="-2.5451 1.8029 -1.6536 -0.9819 -4.4237 -3.3120 -11.8982 -4.1344 13.8053" Properties=species:S:1:pos:R:3 pbc="T T T"
Ho -6.3265 -3.6477 1.9918
Ho -1.7635 -1.3104 -2.4828
Ho -9.0987 -3.1074 6.8479
Dy -12.3247 -6.7202 7.8739
Dy -10.0378 -5.1418 9.8435
Dy 0.0000 0.0000 0.0000
Dy -7.1736 -5.6349 4.8973
Dy -3.1005 -0.0349 0.9658
Dy -5.7065 -2.9231 5.5960
Dy -2.8423 -3.4163 0.6498
Sc -9.2089 -6.6775 6.8932
Sc -3.6712 -1.8805 3.6001
```

Calculated values
For the volume, the calculation gives 30.51 Å³/atom. The calculation puts the total DFT energy (no corrections) at -57.124 eV/cell. The space-group type is Cmmm. The magnetic moment comes out at 0.0 μB per formula unit. For the density of states at the Fermi level, the calculation gives 1.602 states/eV per atom.

***

Entry 12:
The following is a DFT calculation (PBE) of crystalline La5TbPm2Sm at its relaxed geometry.

```
18
Lattice="9.0234 0.0000 0.0000 0.0000 9.0234 0.0000 -4.5117 -4.5117 7.9111" Properties=species:S:1:pos:R:3 pbc="T T T"
La 4.5117 4.5117 0.0000
La 0.0000 0.0000 0.0000
La 1.8674 6.3791 2.2171
La -1.8674 -2.6443 5.6940
La 2.6443 1.8674 2.2171
La 1.8674 2.6443 5.6940
La 2.6443 -1.8674 5.6940
La 7.1560 2.6443 2.2171
La -2.6443 1.8674 5.6940
La 6.3791 7.1560 2.2171
Pm 5.5611 1.0494 0.0000
Pm 7.9740 5.5611 0.0000
Pm 1.0494 3.4623 0.0000
Pm 3.4623 7.9740 0.0000
Sm 0.0000 0.0000 3.9555
Sm 4.5117 4.5117 3.9555
Tb 0.0000 4.5117 3.9555
Tb 4.5117 0.0000 3.9555
```

Calculated values
For the volume, the calculation gives 35.79 Å³/atom. The calculation puts the total DFT energy (no corrections) at -82.211 eV/cell. The space-group type is I4/mcm. The magnetic moment comes out at 0.0 μB per formula unit. For the density of states at the Fermi level, the calculation gives 1.879 states/eV per atom.

***

Number 3 is which compound?
Ta2FeTe